VASP calculation (PBE-GGA) on a geometry-optimized K2CaAu structure.

The structure belongs to space group I4/mmm (No. 139); the cell edges are 4.847, 4.847 and 12.432 Å and the angles 90.00°, 90.00° and 90.00°. The distinct sites, in fractional coordinates, are K at (0.000, 0.500, 0.250), Ca at (0.000, 0.000, 0.000) and Au at (0.000, 0.000, 0.500).

The value obtained for the total magnetization is 0.0 μB per formula unit. Its electronic total energy is -15.095 eV per cell.

VASP calculation (PBE-GGA) on a geometry-optimized K2CaAu structure.

The structure belongs to space group Immm (No. 71); the cell edges are 3.913, 4.635 and 19.809 Å and the angles 90.00°, 90.00° and 90.00°. The distinct sites, in fractional coordinates, are K at (0.000, 0.000, 0.157), Ca at (0.000, 0.500, 0.000) and Au at (0.000, 0.500, 0.500).

The value obtained for the total magnetization is 0.0 μB per formula unit. Its electronic total energy is -16.856 eV per cell.

VASP calculation (PBE-GGA) on a geometry-optimized KCaAu structure.

The structure belongs to space group P4/nmm (No. 129, origin choice 2); the cell edges are 5.132, 5.132 and 8.272 Å and the angles 90.00°, 90.00° and 90.00°. The distinct sites, in fractional coordinates, are K at (0.250, 0.250, 0.119), Ca at (0.250, 0.750, 0.500) and Au at (0.250, 0.250, 0.695).

The value obtained for the total magnetization is 0.0 μB per formula unit. Its electronic total energy is -15.331 eV per cell.

VASP calculation (PBE-GGA) on a geometry-optimized K2CaAu structure.

The structure belongs to space group P4mm (No. 99); the cell edges are 3.953, 3.953 and 10.934 Å and the angles 90.00°, 90.00° and 90.00°. The distinct sites, in fractional coordinates, are K at (0.000, 0.000, 0.000), K at (0.500, 0.500, 0.360), Ca at (0.500, 0.500, 0.693) and Au at (0.000, 0.000, 0.577).

The value obtained for the total magnetization is 0.0 μB per formula unit. Its electronic total energy is -8.484 eV per cell.

VASP calculation (PBE-GGA) on a geometry-optimized KCaAu structure.

The structure belongs to space group P3m1 (No. 156); the cell edges are 4.3441, 4.3441 and 7.4219 Å and the angles 90.00°, 90.00° and 120.00°. The distinct sites, in fractional coordinates, are K at (0.0000, 0.0000, 0.0000), Ca at (0.6667, 0.3333, 0.5050) and Au at (0.3333, 0.6667, 0.3001).

The value obtained for the total magnetization is 0.0 μB per formula unit. Its electronic total energy is -7.271 eV per cell.

VASP calculation (PBE-GGA) on a geometry-optimized K2CaAu structure.

The structure belongs to space group Cmmm (No. 65); the cell edges are 5.614, 5.631 and 10.799 Å and the angles 90.00°, 90.00° and 90.00°. The distinct sites, in fractional coordinates, are K at (0.000, 0.000, 0.180), Ca at (0.000, 0.500, 0.500) and Au at (0.000, 0.500, 0.000).

The value obtained for the total magnetization is 0.0 μB per formula unit. Its electronic total energy is -15.403 eV per cell.